Record 1
Computed, not measured: a relaxed structure of AcAl3Cu3 at the PBE-GGA level of DFT.

Energy of formation from the pure elements = -0.084 eV per atom
Energy above the most stable polymorph in this dataset = 15.5 kJ/mol of atoms
Magnetization = 0.00 μB per cell

Cell lengths 6.4542, 6.4542, 22.5457 Å; angles 90.00, 90.00, 120.00 degrees
Space group R-3 (No. 148, hexagonal axes)
One atom of each set of equivalent atoms:
Ac 0.0000 0.0000 0.1618
Al 0.0407 0.4423 0.3724
Cu 0.0189 0.2321 0.5900



Record 2
Computed, not measured: a relaxed structure of RbAs2PbBr at the PBE-GGA level of DFT.

Energy above the most stable polymorph in this dataset = 82.6 kJ/mol of atoms
Formation energy from raw total energies = 884.1 meV/atom
Magnetization = 1.46 μB per cell

Cell lengths 5.716, 5.716, 5.926 Å; angles 90.00, 90.00, 90.00 degrees
Space group P4/mmm (No. 123)
One atom of each set of equivalent atoms:
Rb 0.000 0.000 0.000
As 0.000 0.500 0.000
Pb 0.500 0.500 0.500
Br 0.000 0.000 0.500



Record 3
Computed, not measured: a relaxed structure of LiCo2Te at the PBE-GGA level of DFT.

Formation energy from raw total energies = 62.4 meV/atom
Magnetization = 4.04 μB per cell

Cell lengths 3.753, 3.766, 7.640 Å; angles 90.00, 90.00, 90.00 degrees
Space group Imm2 (No. 44)
One atom of each set of equivalent atoms:
Li 0.000 0.000 0.000
Co 0.000 0.000 0.501
Co 0.000 0.500 0.249
Te 0.000 0.500 0.751



Record 4
Computed, not measured: a relaxed structure of Hf3In2 at the PBE-GGA level of DFT.

Energy of formation from the pure elements = -0.020 eV per atom
Energy above the most stable polymorph in this dataset = 4.9 kJ/mol of atoms
Magnetization = 0.00 μB per cell

Cell lengths 8.119, 3.123, 9.201 Å; angles 90.00, 101.65, 90.00 degrees
Space group P2_1/m (No. 11)
One atom of each set of equivalent atoms:
Hf 0.120 0.250 0.117
Hf 0.275 0.750 0.891
Hf 0.334 0.250 0.479
In 0.025 0.250 0.645
In 0.449 0.750 0.218



Record 5
Computed, not measured: a relaxed structure of Zn11GaSn at the PBE-GGA level of DFT.

Energy of formation from the pure elements = 0.067 eV per atom
Magnetization = 0.00 μB per cell

Cell lengths 5.423, 12.510, 6.876 Å; angles 90.00, 110.92, 90.00 degrees
Space group C2/m (No. 12)
One atom of each set of equivalent atoms:
Zn 0.000 0.000 0.000
Zn 0.104 0.112 0.720
Zn 0.184 0.322 0.852
Zn 0.250 0.250 0.500
Ga 0.000 0.500 0.000
Sn 0.000 0.500 0.500



Record 6
Computed, not measured: a relaxed structure of SrTlHgPb at the PBE-GGA level of DFT.

Energy of formation from the pure elements = -0.312 eV per atom
Energy above the most stable polymorph in this dataset = 1.9 kJ/mol of atoms
Magnetization = 0.00 μB per cell

Cell lengths 7.883, 7.883, 7.883 Å; angles 90.00, 90.00, 90.00 degrees
Space group F-43m (No. 216)
One atom of each set of equivalent atoms:
Sr 0.000 0.000 0.000
Tl 0.250 0.250 0.250
Hg 0.250 0.250 0.750
Pb 0.000 0.000 0.500



Record 7
Computed, not measured: a relaxed structure of NbTlTc2O8 at the PBE-GGA level of DFT.

Formation energy from raw total energies = -1536.1 meV/atom
Magnetization = 0.94 μB per cell

Cell lengths 5.7804, 5.7804, 7.7279 Å; angles 90.00, 90.00, 120.00 degrees
Space group P-3m1 (No. 164)
One atom of each set of equivalent atoms:
Nb 0.0000 0.0000 0.0000
Tl 0.0000 0.0000 0.5000
Tc 0.3333 0.6667 0.2429
O 0.1647 0.3295 0.1513
O 0.3333 0.6667 0.4692



Record 8
Computed, not measured: a relaxed structure of Ac8Rh3CCl3 at the PBE-GGA level of DFT.

Formation energy from raw total energies = -916.8 meV/atom
Magnetization = 0.00 μB per cell

Cell lengths 14.917, 8.623, 9.257 Å; angles 90.00, 122.56, 90.00 degrees
Space group C2/m (No. 12)
One atom of each set of equivalent atoms:
Ac 0.015 0.240 0.305
Ac 0.225 0.000 0.696
Ac 0.237 0.500 0.709
Rh 0.000 0.500 0.500
Rh 0.250 0.250 0.500
C 0.000 0.000 0.500
Cl 0.000 0.000 0.000
Cl 0.250 0.250 0.000



Record 9
Computed, not measured: a relaxed structure of Ac5InSn3 at the PBE-GGA level of DFT.

Energy of formation from the pure elements = -0.565 eV per atom
Magnetization = 0.02 μB per cell

Cell lengths 10.2084, 10.2084, 7.1995 Å; angles 90.00, 90.00, 120.00 degrees
Space group P6_3/mcm (No. 193)
One atom of each set of equivalent atoms:
Ac 0.0000 0.2795 0.2500
Ac 0.3333 0.6667 0.0000
In 0.0000 0.0000 0.0000
Sn 0.0000 0.3758 0.7500



Record 10
Computed, not measured: a relaxed structure of ZnFeHIr2 at the PBE-GGA level of DFT.

Calculated total energy = -0.224 Ha/atom
Magnetization = 3.33 μB per cell

Cell lengths 3.964, 3.964, 3.697 Å; angles 90.00, 90.00, 90.00 degrees
Space group P4/mmm (No. 123)
One atom of each set of equivalent atoms:
Zn 0.000 0.000 0.000
Fe 0.500 0.500 0.000
H 0.500 0.500 0.500
Ir 0.000 0.500 0.500



Record 11
Computed, not measured: a relaxed structure of CsAl2PbCl8 at the PBE-GGA level of DFT.

Formation energy from raw total energies = -1439.9 meV/atom
Magnetization = 3.00 μB per cell

Cell lengths 6.6703, 6.6703, 32.5284 Å; angles 90.00, 90.00, 120.00 degrees
Space group R-3 (No. 148, hexagonal axes)
One atom of each set of equivalent atoms:
Cs 0.0000 0.0000 0.0000
Al 0.0000 0.0000 0.2565
Pb 0.0000 0.0000 0.5000
Cl 0.0000 0.0000 0.3229
Cl 0.0168 0.6488 0.4312



Record 12
Computed, not measured: a relaxed structure of Ca2ScMn at the PBE-GGA level of DFT.

Energy of formation from the pure elements = 0.411 eV per atom
Energy above the most stable polymorph in this dataset = 20.8 kJ/mol of atoms
Magnetization = 7.72 μB per cell

Cell lengths 5.374, 5.374, 7.528 Å; angles 90.00, 90.00, 90.00 degrees
Space group I-4m2 (No. 119)
One atom of each set of equivalent atoms:
Ca 0.000 0.000 0.000
Ca 0.000 0.500 0.250
Sc 0.000 0.500 0.750
Mn 0.000 0.000 0.500



Record 13
Computed, not measured: a relaxed structure of Na3TlPd2O6 at the PBE-GGA level of DFT.

Formation energy from raw total energies = -897.4 meV/atom
Magnetization = 4.05 μB per cell

Cell lengths 5.921, 9.609, 5.820 Å; angles 90.00, 112.14, 90.00 degrees
Space group C2/m (No. 12)
One atom of each set of equivalent atoms:
Na 0.000 0.000 0.000
Na 0.000 0.331 0.000
Tl 0.000 0.500 0.500
Pd 0.000 0.164 0.500
O 0.210 0.000 0.713
O 0.222 0.318 0.717



Record 14
Computed, not measured: a relaxed structure of CdBiI3 at the PBE-GGA level of DFT.

Energy above the most stable polymorph in this dataset = 33.0 kJ/mol of atoms
Formation energy from raw total energies = 89.1 meV/atom
Magnetization = 1.93 μB per cell

Cell lengths 5.890, 5.890, 5.890 Å; angles 90.00, 90.00, 90.00 degrees
Space group Pm-3m (No. 221)
One atom of each set of equivalent atoms:
Cd 0.000 0.000 0.000
Bi 0.500 0.500 0.500
I 0.000 0.000 0.500



Record 15
Computed, not measured: a relaxed structure of Li2DyHg2 at the PBE-GGA level of DFT.

Energy of formation from the pure elements = -0.342 eV per atom
Magnetization = 0.00 μB per cell

Cell lengths 8.456, 4.883, 5.546 Å; angles 90.00, 120.26, 90.00 degrees
Space group C2/m (No. 12)
One atom of each set of equivalent atoms:
Li 0.084 0.000 0.249
Dy 0.000 0.500 0.500
Hg 0.222 0.500 0.165



Record 16
Computed, not measured: a relaxed structure of Rb2LaHgRh at the PBE-GGA level of DFT.

Energy of formation from the pure elements = 1.401 eV per atom
Energy above the most stable polymorph in this dataset = 123.7 kJ/mol of atoms
Magnetization = 1.97 μB per cell

Cell lengths 6.967, 6.967, 5.724 Å; angles 90.00, 90.00, 90.00 degrees
Space group P4/mmm (No. 123)
One atom of each set of equivalent atoms:
Rb 0.000 0.500 0.000
La 0.000 0.000 0.000
Hg 0.000 0.000 0.500
Rh 0.500 0.500 0.500



Record 17
Computed, not measured: a relaxed structure of LiNbFe3 at the PBE-GGA level of DFT.

Energy of formation from the pure elements = 0.779 eV per atom
Energy above the most stable polymorph in this dataset = 0.0 kJ/mol of atoms
Magnetization = 3.93 μB per cell

Cell lengths 3.954, 3.954, 3.954 Å; angles 90.00, 90.00, 90.00 degrees
Space group Pm-3m (No. 221)
One atom of each set of equivalent atoms:
Li 0.000 0.000 0.000
Nb 0.500 0.500 0.500
Fe 0.000 0.000 0.500



Record 18
Computed, not measured: a relaxed structure of TbNd8Ho3 at the PBE-GGA level of DFT.

Energy of formation from the pure elements = 0.113 eV per atom
Magnetization = 0.00 μB per cell

Cell lengths 7.070, 12.030, 9.861 Å; angles 90.00, 104.14, 90.00 degrees
Space group C2/m (No. 12)
One atom of each set of equivalent atoms:
Tb 0.000 0.000 0.000
Nd 0.069 0.252 0.834
Nd 0.180 0.000 0.667
Nd 0.180 0.500 0.664
Ho 0.000 0.500 0.000
Ho 0.250 0.250 0.500



Record 19
Computed, not measured: a relaxed structure of CeNdGaAg at the PBE-GGA level of DFT.

Energy of formation from the pure elements = -0.310 eV per atom
Magnetization = 5.51 μB per cell

Cell lengths 7.440, 7.440, 7.440 Å; angles 90.00, 90.00, 90.00 degrees
Space group F-43m (No. 216)
One atom of each set of equivalent atoms:
Ce 0.000 0.000 0.000
Nd 0.000 0.000 0.500
Ga 0.250 0.250 0.750
Ag 0.250 0.250 0.250



Record 20
Computed, not measured: a relaxed structure of LiTaSi2 at the PBE-GGA level of DFT.

Energy above the most stable polymorph in this dataset = 31.4 kJ/mol of atoms
Formation energy from raw total energies = 90.3 meV/atom
Magnetization = 0.00 μB per cell

Cell lengths 6.223, 6.223, 6.223 Å; angles 90.00, 90.00, 90.00 degrees
Space group Fm-3m (No. 225)
One atom of each set of equivalent atoms:
Li 0.000 0.000 0.000
Ta 0.000 0.000 0.500
Si 0.250 0.250 0.250